[1]
LaNd2Ho2: optimized geometry, PBE.

```
data_LaNd2Ho2
_chemical_formula_sum 'La2 Nd4 Ho4'
_symmetry_space_group_name_H-M 'I 4/m m m'
_symmetry_Int_Tables_number 139
_symmetry_space_group_name_Hall '-I 4 2'
_cell_length_a 3.632
_cell_length_b 3.632
_cell_length_c 25.770
_cell_angle_alpha 90.00
_cell_angle_beta 90.00
_cell_angle_gamma 90.00
loop_
_atom_site_label
_atom_site_type_symbol
_atom_site_fract_x
_atom_site_fract_y
_atom_site_fract_z
La1 La 0.000 0.000 0.000
Nd1 Nd 0.000 0.000 0.396
Ho1 Ho 0.000 0.000 0.203
```

Summary:
Distance to the lowest polymorph of the same formula in kJ per mole of atoms: 0.0
Total magnetization in μB per atom: 0.000
Formation energy in eV/atom: 0.024
N(E_F) in states/eV/f.u.: 7.5
Final energy in eV per atom: -4.700

---

[2]
LaI2Cl: optimized geometry, PBE.

```
data_LaI2Cl
_chemical_formula_sum 'La4 I8 Cl4'
_symmetry_space_group_name_H-M 'F m -3 m'
_symmetry_Int_Tables_number 225
_symmetry_space_group_name_Hall '-F 4 2 3'
_cell_length_a 7.908
_cell_length_b 7.908
_cell_length_c 7.908
_cell_angle_alpha 90.00
_cell_angle_beta 90.00
_cell_angle_gamma 90.00
loop_
_atom_site_label
_atom_site_type_symbol
_atom_site_fract_x
_atom_site_fract_y
_atom_site_fract_z
La1 La 0.000 0.000 0.000
I1 I 0.250 0.250 0.250
Cl1 Cl 0.000 0.000 0.500
```

Summary:
Distance to the lowest polymorph of the same formula in kJ per mole of atoms: 42.7
Total magnetization in μB per atom: 0.000
N(E_F) in states/eV/f.u.: 0.0
E_form (uncorrected) in eV/atom: -1.381
Final energy in eV per atom: -3.849

---

[3]
Sr2YPtS: optimized geometry, PBE.

```
data_Sr2YPtS
_chemical_formula_sum 'Sr2 Y1 Pt1 S1'
_symmetry_space_group_name_H-M 'P 4/m m m'
_symmetry_Int_Tables_number 123
_symmetry_space_group_name_Hall '-P 4 2'
_cell_length_a 6.449
_cell_length_b 6.449
_cell_length_c 4.910
_cell_angle_alpha 90.00
_cell_angle_beta 90.00
_cell_angle_gamma 90.00
loop_
_atom_site_label
_atom_site_type_symbol
_atom_site_fract_x
_atom_site_fract_y
_atom_site_fract_z
Sr1 Sr 0.000 0.500 0.000
Y1 Y 0.000 0.000 0.000
Pt1 Pt 0.500 0.500 0.500
S1 S 0.000 0.000 0.500
```

Summary:
Total magnetization in μB per atom: 0.229
N(E_F) in states/eV/f.u.: 2.9
E_form (uncorrected) in eV/atom: 0.243
Final energy in eV per atom: -3.756

---

[4]
Si2TcPb: optimized geometry, PBE.

```
data_Si2TcPb
_chemical_formula_sum 'Si2 Tc1 Pb1'
_symmetry_space_group_name_H-M 'P 1 2/m 1'
_symmetry_Int_Tables_number 10
_symmetry_space_group_name_Hall '-P 2y'
_cell_length_a 3.606
_cell_length_b 4.443
_cell_length_c 4.764
_cell_angle_alpha 90.00
_cell_angle_beta 96.73
_cell_angle_gamma 90.00
loop_
_atom_site_label
_atom_site_type_symbol
_atom_site_fract_x
_atom_site_fract_y
_atom_site_fract_z
Si1 Si 0.026 0.000 0.255
Tc1 Tc 0.000 0.500 0.500
Pb1 Pb 0.500 0.500 0.000
```

Summary:
Total magnetization in μB per atom: 0.000
N(E_F) in states/eV/f.u.: 2.2
E_form (uncorrected) in eV/atom: 0.344
Final energy in eV per atom: -5.886

---

[5]
SrTe2Br: optimized geometry, PBE.

```
data_SrTe2Br
_chemical_formula_sum 'Sr4 Te8 Br4'
_symmetry_space_group_name_H-M 'F m -3 m'
_symmetry_Int_Tables_number 225
_symmetry_space_group_name_Hall '-F 4 2 3'
_cell_length_a 8.036
_cell_length_b 8.036
_cell_length_c 8.036
_cell_angle_alpha 90.00
_cell_angle_beta 90.00
_cell_angle_gamma 90.00
loop_
_atom_site_label
_atom_site_type_symbol
_atom_site_fract_x
_atom_site_fract_y
_atom_site_fract_z
Sr1 Sr 0.000 0.000 0.000
Te1 Te 0.250 0.250 0.250
Br1 Br 0.000 0.000 0.500
```

Summary:
Distance to the lowest polymorph of the same formula in kJ per mole of atoms: 72.0
Total magnetization in μB per atom: 0.000
N(E_F) in states/eV/f.u.: 10.1
E_form (uncorrected) in eV/atom: -0.438
Final energy in eV per atom: -2.848

---

[6]
ThPa2S4: optimized geometry, PBE.

```
data_ThPa2S4
_chemical_formula_sum 'Th4 Pa8 S16'
_symmetry_space_group_name_H-M 'C m c m'
_symmetry_Int_Tables_number 63
_symmetry_space_group_name_Hall '-C 2c 2'
_cell_length_a 3.855
_cell_length_b 12.837
_cell_length_c 13.005
_cell_angle_alpha 90.00
_cell_angle_beta 90.00
_cell_angle_gamma 90.00
loop_
_atom_site_label
_atom_site_type_symbol
_atom_site_fract_x
_atom_site_fract_y
_atom_site_fract_z
Th1 Th 0.000 0.119 0.250
Pa1 Pa 0.000 0.362 0.060
S1 S 0.000 0.000 0.000
S2 S 0.000 0.269 0.632
S3 S 0.000 0.455 0.250
```

Summary:
Total magnetization in μB per atom: 0.000
N(E_F) in states/eV/f.u.: 9.4
E_form (uncorrected) in eV/atom: -1.626
Final energy in eV per atom: -7.758